(1)
First-principles (PBE-GGA) data for a geometry-optimized ZnGaAg2F6 structure, as listed in Alexandria via LeMat-Bulk.

Results
Uncorrected formation energy, eV per atom: -1.738
Crystal system: monoclinic

```
data_ZnGaAg2F6
_chemical_formula_sum 'Zn2 Ga2 Ag4 F12'
_symmetry_space_group_name_H-M 'P 1 21/c 1'
_symmetry_Int_Tables_number 14
_symmetry_space_group_name_Hall '-P 2ybc'
_cell_length_a 5.7832
_cell_length_b 5.7604
_cell_length_c 9.9507
_cell_angle_alpha 90.00
_cell_angle_beta 125.53
_cell_angle_gamma 90.00
loop_
_atom_site_label
_atom_site_type_symbol
_atom_site_fract_x
_atom_site_fract_y
_atom_site_fract_z
_atom_site_occupancy
Zn1 Zn 0.0000 0.0000 0.0000 1
Ga1 Ga 0.5000 0.0000 0.5000 1
Ag1 Ag 0.2531 0.0078 0.7485 1
F1 F 0.1899 0.0027 0.2598 1
F2 F 0.2871 0.7318 0.0364 1
F3 F 0.3078 0.2475 0.0360 1
```

---

(2)
First-principles (PBE-GGA) data for a geometry-optimized Gd2AgF structure, as listed in Alexandria via LeMat-Bulk.

Results
Uncorrected formation energy, eV per atom: -1.169
Crystal system: trigonal

```
data_Gd2AgF
_chemical_formula_sum 'Gd6 Ag3 F3'
_symmetry_space_group_name_H-M 'R -3 m'
_symmetry_Int_Tables_number 166
_symmetry_space_group_name_Hall '-R 3 2"'
_cell_length_a 3.9822
_cell_length_b 3.9822
_cell_length_c 19.6917
_cell_angle_alpha 90.00
_cell_angle_beta 90.00
_cell_angle_gamma 120.00
loop_
_atom_site_label
_atom_site_type_symbol
_atom_site_fract_x
_atom_site_fract_y
_atom_site_fract_z
_atom_site_occupancy
Gd1 Gd 0.0000 0.0000 0.2356 1
Ag1 Ag 0.0000 0.0000 0.0000 1
F1 F 0.0000 0.0000 0.5000 1
```

---

(3)
First-principles (PBE-GGA) data for a geometry-optimized AgGe2F8 structure, as listed in Alexandria via LeMat-Bulk.

Results
Energy above the lowest structure with this stoichiometry, meV per atom: 0
Uncorrected formation energy, eV per atom: -1.977
Crystal system: trigonal

```
data_AgGe2F8
_chemical_formula_sum 'Ag1 Ge2 F8'
_symmetry_space_group_name_H-M 'P -3 m 1'
_symmetry_Int_Tables_number 164
_symmetry_space_group_name_Hall '-P 3 2"'
_cell_length_a 7.1328
_cell_length_b 7.1328
_cell_length_c 3.9506
_cell_angle_alpha 90.00
_cell_angle_beta 90.00
_cell_angle_gamma 120.00
loop_
_atom_site_label
_atom_site_type_symbol
_atom_site_fract_x
_atom_site_fract_y
_atom_site_fract_z
_atom_site_occupancy
Ag1 Ag 0.0000 0.0000 0.0000 1
Ge1 Ge 0.3333 0.6667 0.2473 1
F1 F 0.1884 0.3767 0.2477 1
F2 F 0.3333 0.6667 0.7485 1
```

---

(4)
First-principles (PBE-GGA) data for a geometry-optimized AgGeF2 structure, as listed in Alexandria via LeMat-Bulk.

Results
Energy above the lowest structure with this stoichiometry, meV per atom: 268
Uncorrected formation energy, eV per atom: -0.846
Crystal system: cubic

```
data_AgGeF2
_chemical_formula_sum 'Ag4 Ge4 F8'
_symmetry_space_group_name_H-M 'F m -3 m'
_symmetry_Int_Tables_number 225
_symmetry_space_group_name_Hall '-F 4 2 3'
_cell_length_a 6.1477
_cell_length_b 6.1477
_cell_length_c 6.1477
_cell_angle_alpha 90.00
_cell_angle_beta 90.00
_cell_angle_gamma 90.00
loop_
_atom_site_label
_atom_site_type_symbol
_atom_site_fract_x
_atom_site_fract_y
_atom_site_fract_z
_atom_site_occupancy
Ag1 Ag 0.0000 0.0000 0.0000 1
Ge1 Ge 0.0000 0.0000 0.5000 1
F1 F 0.2500 0.2500 0.2500 1
```

---

(5)
First-principles (PBE-GGA) data for a geometry-optimized AgGeF6 structure, as listed in Alexandria via LeMat-Bulk.

Results
Energy above the lowest structure with this stoichiometry, meV per atom: 0
Uncorrected formation energy, eV per atom: -1.920
Crystal system: triclinic

```
data_AgGeF6
_chemical_formula_sum 'Ag1 Ge1 F6'
_symmetry_space_group_name_H-M 'P -1'
_symmetry_Int_Tables_number 2
_symmetry_space_group_name_Hall '-P 1'
_cell_length_a 5.0889
_cell_length_b 5.2720
_cell_length_c 5.4669
_cell_angle_alpha 115.35
_cell_angle_beta 90.54
_cell_angle_gamma 118.57
loop_
_atom_site_label
_atom_site_type_symbol
_atom_site_fract_x
_atom_site_fract_y
_atom_site_fract_z
_atom_site_occupancy
Ag1 Ag 0.0000 0.0000 0.0000 1
Ge1 Ge 0.5000 0.0000 0.5000 1
F1 F 0.1553 0.6008 0.2938 1
F2 F 0.2802 0.1441 0.7348 1
F3 F 0.4167 0.1499 0.2741 1
```

---

(6)
First-principles (PBE-GGA) data for a geometry-optimized Ag3GeF structure, as listed in Alexandria via LeMat-Bulk.

Results
Energy above the lowest structure with this stoichiometry, meV per atom: 0
Uncorrected formation energy, eV per atom: 0.059
Crystal system: cubic

```
data_Ag3GeF
_chemical_formula_sum 'Ag3 Ge1 F1'
_symmetry_space_group_name_H-M 'P m -3 m'
_symmetry_Int_Tables_number 221
_symmetry_space_group_name_Hall '-P 4 2 3'
_cell_length_a 4.6094
_cell_length_b 4.6094
_cell_length_c 4.6094
_cell_angle_alpha 90.00
_cell_angle_beta 90.00
_cell_angle_gamma 90.00
loop_
_atom_site_label
_atom_site_type_symbol
_atom_site_fract_x
_atom_site_fract_y
_atom_site_fract_z
_atom_site_occupancy
Ag1 Ag 0.0000 0.0000 0.5000 1
Ge1 Ge 0.5000 0.5000 0.5000 1
F1 F 0.0000 0.0000 0.0000 1
```

---

(7)
First-principles (PBE-GGA) data for a geometry-optimized AgGe3F structure, as listed in Alexandria via LeMat-Bulk.

Results
Energy above the lowest structure with this stoichiometry, meV per atom: 0
Uncorrected formation energy, eV per atom: 0.052
Crystal system: cubic

```
data_AgGe3F
_chemical_formula_sum 'Ag1 Ge3 F1'
_symmetry_space_group_name_H-M 'P m -3 m'
_symmetry_Int_Tables_number 221
_symmetry_space_group_name_Hall '-P 4 2 3'
_cell_length_a 4.5887
_cell_length_b 4.5887
_cell_length_c 4.5887
_cell_angle_alpha 90.00
_cell_angle_beta 90.00
_cell_angle_gamma 90.00
loop_
_atom_site_label
_atom_site_type_symbol
_atom_site_fract_x
_atom_site_fract_y
_atom_site_fract_z
_atom_site_occupancy
Ag1 Ag 0.0000 0.0000 0.0000 1
Ge1 Ge 0.0000 0.5000 0.5000 1
F1 F 0.5000 0.5000 0.5000 1
```

---

(8)
First-principles (PBE-GGA) data for a geometry-optimized AgGe2F8 structure, as listed in Alexandria via LeMat-Bulk.

Results
Energy above the lowest structure with this stoichiometry, meV per atom: 33
Uncorrected formation energy, eV per atom: -1.943
Crystal system: monoclinic

```
data_AgGe2F8
_chemical_formula_sum 'Ag2 Ge4 F16'
_symmetry_space_group_name_H-M 'C 1 2/m 1'
_symmetry_Int_Tables_number 12
_symmetry_space_group_name_Hall '-C 2y'
_cell_length_a 10.1582
_cell_length_b 6.3427
_cell_length_c 5.3785
_cell_angle_alpha 90.00
_cell_angle_beta 94.76
_cell_angle_gamma 90.00
loop_
_atom_site_label
_atom_site_type_symbol
_atom_site_fract_x
_atom_site_fract_y
_atom_site_fract_z
_atom_site_occupancy
Ag1 Ag 0.0000 0.0000 0.0000 1
Ge1 Ge 0.2292 0.5000 0.4877 1
F1 F 0.1129 0.5000 0.7171 1
F2 F 0.1509 0.2101 0.3578 1
F3 F 0.1902 0.0000 0.8032 1
```